Entry from the Alexandria database: a relaxed KTbWO5 crystal (PBE with a Hubbard U).

Values from the calculation:
Its total energy is -7.147 eV/atom. The calculation puts the volume at 297 Å³/cell. The space group is C2/c, No. 15.

Structure (CIF):
```
data_KTbWO5
_cell_length_a 6.429
_cell_length_b 6.429
_cell_length_c 8.180
_cell_angle_alpha 104.26
_cell_angle_beta 104.26
_cell_angle_gamma 105.64
_symmetry_space_group_name_H-M 'P 1'
_symmetry_Int_Tables_number 1
loop_
_symmetry_equiv_pos_as_xyz
'x,y,z'
loop_
_atom_site_label
_atom_site_fract_x
_atom_site_fract_y
_atom_site_fract_z
K1 0.184 0.816 0.750
K2 0.816 0.184 0.250
Tb1 0.500 0.500 0.000
Tb2 0.500 0.500 0.500
W1 0.182 0.818 0.250
W2 0.818 0.182 0.750
O1 0.106 0.260 0.903
O2 0.193 0.623 0.378
O3 0.260 0.106 0.403
O4 0.377 0.807 0.122
O5 0.432 0.568 0.750
O6 0.568 0.432 0.250
O7 0.623 0.193 0.878
O8 0.740 0.894 0.597
O9 0.807 0.377 0.622
O10 0.894 0.740 0.097
```